[1]
VASP calculation (PBE) on a geometry-optimized NdNi2Sn structure.

Unit cell a=5.0692 b=25.7443 c=2.9097 alpha=90.00 beta=90.00 gamma=90.00
Space group Cmmm (No. 65)
Asymmetric unit:
Nd (0.0000, 0.1468, 0.0000)
Ni (0.0000, 0.2477, 0.0000)
Ni (0.0000, 0.3376, 0.0000)
Sn (0.0000, 0.4391, 0.0000)

[2]
VASP calculation (PBE) on a geometry-optimized ZrB4Pt structure.

Results
The energy above the most stable polymorph in this dataset is 0.00 eV per formula unit.

Unit cell a=3.1280 b=5.1471 c=7.5730 alpha=90.00 beta=90.00 gamma=90.00
Space group Immm (No. 71)
Asymmetric unit:
Zr (0.0000, 0.0000, 0.0000)
B (0.0000, 0.3150, 0.2693)
Pt (0.0000, 0.0000, 0.5000)

[3]
VASP calculation (PBE) on a geometry-optimized LuZr2Be structure.

Unit cell a=6.9133 b=6.9133 c=6.9133 alpha=90.00 beta=90.00 gamma=90.00
Space group F-43m (No. 216)
Asymmetric unit:
Lu (0.0000, 0.0000, 0.0000)
Zr (0.0000, 0.0000, 0.5000)
Zr (0.2500, 0.2500, 0.2500)
Be (0.2500, 0.2500, 0.7500)

[4]
VASP calculation (PBE) on a geometry-optimized HfBAsO structure.

Results
The energy above the most stable polymorph in this dataset is 1.03 eV per formula unit.

Unit cell a=3.6192 b=3.6192 c=8.2301 alpha=90.00 beta=90.00 gamma=90.00
Space group P4/nmm (No. 129, origin choice 2)
Asymmetric unit:
Hf (0.2500, 0.2500, 0.1395)
B (0.2500, 0.7500, 0.5000)
As (0.2500, 0.2500, 0.6614)
O (0.2500, 0.7500, 0.0000)

[5]
VASP calculation (PBE) on a geometry-optimized YCo2B structure.

Unit cell a=6.0132 b=6.0132 c=6.0132 alpha=90.00 beta=90.00 gamma=90.00
Space group F-43m (No. 216)
Asymmetric unit:
Y (0.0000, 0.0000, 0.0000)
Co (0.0000, 0.0000, 0.5000)
Co (0.2500, 0.2500, 0.2500)
B (0.2500, 0.2500, 0.7500)

[6]
VASP calculation (PBE) on a geometry-optimized LaHoNi4 structure.

Results
The calculation puts the energy of formation at -377 meV/atom. The energy above the most stable polymorph in this dataset is 0.00 eV per formula unit.

Unit cell a=7.1675 b=7.1675 c=7.1675 alpha=90.00 beta=90.00 gamma=90.00
Space group F-43m (No. 216)
Asymmetric unit:
La (0.0000, 0.0000, 0.0000)
Ho (0.2500, 0.2500, 0.2500)
Ni (0.1234, 0.1234, 0.6234)

[7]
VASP calculation (PBE) on a geometry-optimized Y2ScHg2 structure.

Results
The calculation puts the energy of formation at -18 meV/atom.

Unit cell a=4.7058 b=4.7058 c=12.8073 alpha=90.00 beta=90.00 gamma=90.00
Space group I4/mmm (No. 139)
Asymmetric unit:
Y (0.0000, 0.5000, 0.2500)
Sc (0.0000, 0.0000, 0.0000)
Hg (0.0000, 0.0000, 0.3958)

[8]
VASP calculation (PBE) on a geometry-optimized NaTaHgPt structure.

Results
The energy above the most stable polymorph in this dataset is 0.04 eV per formula unit.

Unit cell a=6.6416 b=6.6416 c=6.6416 alpha=90.00 beta=90.00 gamma=90.00
Space group F-43m (No. 216)
Asymmetric unit:
Na (0.0000, 0.0000, 0.0000)
Ta (0.0000, 0.0000, 0.5000)
Hg (0.2500, 0.2500, 0.7500)
Pt (0.2500, 0.2500, 0.2500)

Taking the records one at a time from the top gives calculated total energy values of -71.31 -86.18 -96.47 -57.94 -100.89 -136.14 -39.89 -75.64 eV/cell.